1.
DFT (PBE-GGA) results for a geometry-optimized Ac2BiF3 structure.

a = 4.418 Å, b = 8.561 Å, c = 8.353 Å
α = 114.04°, β = 90.00°, γ = 104.95°
Atoms (fractional coordinates):
F (0.307, 0.614, 0.540)
Ac (0.205, 0.411, 0.700)
F (0.935, 0.871, 0.582)
F (0.403, 0.805, 0.359)
Ac (0.474, 0.947, 0.743)
Bi (0.132, 0.263, 0.044)
Ac (0.795, 0.589, 0.300)
Ac (0.526, 0.053, 0.257)
F (0.065, 0.129, 0.418)
Bi (0.868, 0.737, 0.956)
F (0.693, 0.386, 0.460)
F (0.597, 0.195, 0.641)

* uncorrected formation energy: -3.076 eV per atom
* space-group type: C2/m
* ρ: 8.64 g/cm3
* final energy: -36.17 eV per formula unit
* crystal system: monoclinic

---

2.
DFT (PBE-GGA) results for a geometry-optimized Pm2DyAlN structure.

a = 4.775 Å, b = 4.955 Å, c = 4.955 Å
α = 90.00°, β = 90.00°, γ = 90.00°
Atoms (fractional coordinates):
Pm (0.000, 0.500, 0.000)
N (0.000, 0.000, 0.000)
Al (0.500, 0.500, 0.500)
Pm (0.000, 0.000, 0.500)
Dy (0.500, 0.000, 0.000)

* uncorrected formation energy: -0.830 eV per atom
* space-group type: P4/mmm
* ρ: 6.99 g/cm3
* final energy: -30.32 eV per formula unit
* crystal system: tetragonal

---

3.
DFT (PBE-GGA) results for a geometry-optimized SrPr2Hg7 structure.

a = 5.220 Å, b = 5.220 Å, c = 12.319 Å
α = 90.00°, β = 90.00°, γ = 120.00°
Atoms (fractional coordinates):
Hg (0.333, 0.667, 0.109)
Pr (0.333, 0.667, 0.621)
Hg (0.000, 0.000, 0.528)
Hg (0.333, 0.667, 0.864)
Hg (0.667, 0.333, 0.751)
Hg (0.000, 0.000, 0.264)
Hg (0.667, 0.333, 0.125)
Hg (0.333, 0.667, 0.352)
Pr (0.667, 0.333, 0.400)
Sr (0.000, 0.000, 0.967)

* space-group type: P3m1
* ρ: 10.13 g/cm3
* final energy: -16.72 eV per formula unit
* formation energy: -0.336 eV/atom
* crystal system: trigonal